a:
Sc2Mn3 | GGA-PBE | relaxed

Summary:
volume: 98.9 Å³/cell
N(E_F): 7.15 states/eV/cell

Lattice parameters (Å, degrees): 4.5085 4.5085 5.6175 90.00 90.00 120.00
Element x y z (fractional)
Sc 0.3333 0.6667 0.3404
Sc 0.6667 0.3333 0.6596
Mn 0.0000 0.0000 0.5000
Mn 0.3333 0.6667 0.8416
Mn 0.6667 0.3333 0.1584

---

b:
Sc2Mn3 | GGA-PBE | relaxed

Summary:
volume: 77.5 Å³/cell
N(E_F): 5.72 states/eV/cell

Lattice parameters (Å, degrees): 10.6630 10.6630 10.6630 15.71 15.71 15.71
Element x y z (fractional)
Sc 0.0940 0.0940 0.0940
Sc 0.9060 0.9060 0.9060
Mn 0.3087 0.3087 0.3087
Mn 0.5000 0.5000 0.5000
Mn 0.6913 0.6913 0.6913

---

c:
Sc2Mn3 | GGA-PBE | relaxed

Summary:
volume: 161.5 Å³/cell
N(E_F): 12.06 states/eV/cell

Lattice parameters (Å, degrees): 7.1957 5.2759 8.1019 60.81 39.80 79.40
Element x y z (fractional)
Sc 0.2166 0.7834 0.3839
Sc 0.6339 0.8661 0.4666
Sc 0.7834 0.2166 0.6161
Sc 0.8661 0.6339 0.0334
Mn 0.2239 0.8023 0.0248
Mn 0.2252 0.3009 0.0261
Mn 0.2521 0.2521 0.7479
Mn 0.3009 0.2252 0.4477
Mn 0.5021 0.5021 0.9979
Mn 0.8023 0.2239 0.9491

---

c (391 meV per atom below the next structure)

---

a:
Sc4Mn | GGA-PBE | relaxed

Summary:
volume: 116.0 Å³/cell
N(E_F): 7.23 states/eV/cell

Lattice parameters (Å, degrees): 4.8768 4.8768 4.8768 90.00 90.00 90.00
Element x y z (fractional)
Sc 0.0000 0.0000 0.0000
Sc 0.0000 0.5000 0.5000
Sc 0.5000 0.0000 0.5000
Sc 0.5000 0.5000 0.0000
Mn 0.5000 0.5000 0.5000

---

b:
Sc4Mn | GGA-PBE | relaxed

Summary:
volume: 115.6 Å³/cell
N(E_F): 4.26 states/eV/cell

Lattice parameters (Å, degrees): 5.3153 5.3153 5.3153 109.47 109.47 109.47
Element x y z (fractional)
Sc 0.0000 0.0000 0.5000
Sc 0.0000 0.5000 0.0000
Sc 0.5000 0.0000 0.0000
Sc 0.5000 0.5000 0.5000
Mn 0.0000 0.0000 0.0000

---

a (264 meV per atom below the next structure)

---

a:
Sc4Mn | GGA-PBE | relaxed

Summary:
volume: 109.6 Å³/cell
N(E_F): 8.73 states/eV/cell

Lattice parameters (Å, degrees): 5.3660 5.3660 5.3660 101.13 101.13 127.87
Element x y z (fractional)
Sc 0.1156 0.6966 0.8122
Sc 0.3034 0.1156 0.4190
Sc 0.6966 0.8844 0.5810
Sc 0.8844 0.3034 0.1878
Mn 0.5000 0.5000 0.0000

---

b:
Sc4Mn | GGA-PBE | relaxed

Summary:
volume: 118.8 Å³/cell
N(E_F): 5.87 states/eV/cell

Lattice parameters (Å, degrees): 8.4639 8.4639 8.4639 153.70 153.70 37.53
Element x y z (fractional)
Sc 0.0877 0.0877 0.0000
Sc 0.2500 0.7500 0.5000
Sc 0.7500 0.2500 0.5000
Sc 0.9123 0.9123 0.0000
Mn 0.5000 0.5000 0.0000

---

a (394 meV per atom below the next structure)

---

a:
Sc4Mn5 | GGA-PBE | relaxed

Summary:
volume: 309.9 Å³/cell
N(E_F): 19.34 states/eV/cell

Lattice parameters (Å, degrees): 7.9433 7.9433 5.6705 90.00 90.00 120.00
Element x y z (fractional)
Sc 0.0000 0.0000 0.0000
Sc 0.0000 0.0000 0.5000
Sc 0.0000 0.3576 0.2500
Sc 0.0000 0.6424 0.7500
Sc 0.3576 0.0000 0.2500
Sc 0.3576 0.3576 0.7500
Sc 0.6424 0.0000 0.7500
Sc 0.6424 0.6424 0.2500
Mn 0.0000 0.3229 0.7500
Mn 0.0000 0.6771 0.2500
Mn 0.3229 0.0000 0.7500
Mn 0.3229 0.3229 0.2500
Mn 0.3333 0.6667 0.0000
Mn 0.3333 0.6667 0.5000
Mn 0.6667 0.3333 0.0000
Mn 0.6667 0.3333 0.5000
Mn 0.6771 0.0000 0.2500
Mn 0.6771 0.6771 0.7500

---

b:
Sc4Mn5 | GGA-PBE | relaxed

Summary:
volume: 155.4 Å³/cell
N(E_F): 10.34 states/eV/cell

Lattice parameters (Å, degrees): 6.5251 6.5251 6.5251 95.49 95.49 143.98
Element x y z (fractional)
Sc 0.0000 0.3004 0.3004
Sc 0.0000 0.6996 0.6996
Sc 0.3004 0.0000 0.3004
Sc 0.6996 0.0000 0.6996
Mn 0.0000 0.0000 0.0000
Mn 0.3462 0.3462 0.6925
Mn 0.3462 0.6538 0.0000
Mn 0.6538 0.3462 0.0000
Mn 0.6538 0.6538 0.3075

---

b (19 meV per atom below the next structure)